Record 1
meta-GGA SCAN ErTlW2O8, single point on PBEsol structure; total DFT energy (no corrections) = -28.546 eV per atom
1.0
7.428 -0.010 0.013
3.475 6.581 0.036
-3.475 1.606 6.382
Er Tl W O
2 2 4 16
Cartesian
5.571 1.858 1.472
1.857 6.319 4.959
5.571 6.472 5.090
1.857 1.704 1.341
7.097 5.047 1.945
0.331 3.129 4.487
4.045 3.078 4.457
3.383 5.098 1.975
5.443 5.624 2.459
1.985 2.552 3.973
5.699 3.715 4.895
1.729 4.462 1.537
4.592 1.400 3.969
2.837 6.777 2.463
6.551 4.172 0.432
0.878 4.004 6.000
7.041 3.080 2.663
0.388 5.097 3.769
4.102 3.305 2.375
3.326 4.871 4.057
7.716 6.645 1.394
-0.288 1.532 5.038
3.427 2.924 6.140
4.002 5.253 0.292

Record 2
meta-GGA SCAN CrRe2TcHg, single point on PBEsol structure; ΔE_f = 1.928 eV/atom; total DFT energy (no corrections) = -50.834 eV per atom
1.0
4.340 0.000 0.000
0.000 4.340 0.000
0.000 0.000 4.758
Cr Re Hg Tc
1 2 1 1
Cartesian
0.000 0.000 0.000
0.000 2.170 0.000
2.170 0.000 0.000
0.000 0.000 2.379
2.170 2.170 2.379

Record 3
meta-GGA SCAN LaSiSe3, single point on PBEsol structure; excess energy over the best structure of this formula in the dataset = 0 meV per atom; total DFT energy (no corrections) = -23.661 eV per atom
1.0
4.855 0.000 0.000
0.000 4.855 0.000
0.000 0.000 4.855
Si Se La
1 3 1
Cartesian
0.000 0.000 0.000
0.000 2.427 0.000
0.000 0.000 2.427
2.427 0.000 0.000
2.427 2.427 2.427

Which value of total DFT energy (no corrections) does entry 2 give? -50.834 eV per atom

Which of these has the highest total DFT energy (no corrections)? LaSiSe3